KY2Cu: relaxed, PBE-GGA.

```
data_KY2Cu
_symmetry_space_group_name_H-M 'P 1 2/m 1'
_symmetry_Int_Tables_number 10
_cell_length_a 3.5322
_cell_length_b 3.5294
_cell_length_c 10.5320
_cell_angle_alpha 90.00
_cell_angle_beta 90.16
_cell_angle_gamma 90.00
loop_
_symmetry_equiv_pos_as_xyz
'x,y,z'
'-x,-y,-z'
'-x,y,-z'
'x,-y,z'
loop_
_atom_site_label
_atom_site_type_symbol
_atom_site_fract_x
_atom_site_fract_y
_atom_site_fract_z
_atom_site_occupancy
K1 K 0.0000 0.0000 0.0000 1
Y1 Y 0.4986 0.5000 0.3435 1
Cu1 Cu 0.0000 0.0000 0.5000 1
```

Results
Crystal system   monoclinic
ΔH_f (0 K)   0.12 eV/atom
Offset from the most stable computed form   0 meV/atom
DOS(E_F)   3.25 states/eV/cell

HgTe2MoN: relaxed, PBE-GGA.

```
data_HgTe2MoN
_symmetry_space_group_name_H-M 'P 4/m m m'
_symmetry_Int_Tables_number 123
_symmetry_space_group_name_Hall '-P 4 2'
_cell_length_a 5.5091
_cell_length_b 5.5091
_cell_length_c 3.8305
_cell_angle_alpha 90.00
_cell_angle_beta 90.00
_cell_angle_gamma 90.00
loop_
_atom_site_label
_atom_site_type_symbol
_atom_site_fract_x
_atom_site_fract_y
_atom_site_fract_z
_atom_site_occupancy
Hg1 Hg 0.0000 0.0000 0.0000 1
Te1 Te 0.0000 0.5000 0.5000 1
Mo1 Mo 0.5000 0.5000 0.5000 1
N1 N 0.5000 0.5000 0.0000 1
```

Results
Crystal system   tetragonal
Offset from the most stable computed form   0 meV/atom
Formation energy from raw total energies   242.2 meV per atom
DOS(E_F)   4.49 states/eV/cell

LaTlVS4: relaxed, PBE-GGA.

```
data_LaTlVS4
_symmetry_space_group_name_H-M 'P 1 21/m 1'
_symmetry_Int_Tables_number 11
_cell_length_a 6.8222
_cell_length_b 6.5287
_cell_length_c 8.8334
_cell_angle_alpha 90.00
_cell_angle_beta 107.25
_cell_angle_gamma 90.00
loop_
_symmetry_equiv_pos_as_xyz
'x,y,z'
'-x,-y,-z'
'-x,y+1/2,-z'
'x,-y+1/2,z'
loop_
_atom_site_label
_atom_site_type_symbol
_atom_site_fract_x
_atom_site_fract_y
_atom_site_fract_z
_atom_site_occupancy
La1 La 0.2367 0.2500 0.0529 1
Tl1 Tl 0.2831 0.2500 0.5646 1
V1 V 0.2180 0.7500 0.8176 1
S1 S 0.0010 0.5061 0.2192 1
S2 S 0.4037 0.7500 0.0693 1
S3 S 0.4137 0.7500 0.6598 1
```

Results
Crystal system   monoclinic
Formation energy from raw total energies   -1188.1 meV per atom
DOS(E_F)   9.58 states/eV/cell

AsCl: relaxed, PBE-GGA.

```
data_AsCl
_symmetry_space_group_name_H-M 'P 63 m c'
_symmetry_Int_Tables_number 186
_symmetry_space_group_name_Hall 'P 6c -2c'
_cell_length_a 4.3194
_cell_length_b 4.3194
_cell_length_c 9.5892
_cell_angle_alpha 90.00
_cell_angle_beta 90.00
_cell_angle_gamma 120.00
loop_
_atom_site_label
_atom_site_type_symbol
_atom_site_fract_x
_atom_site_fract_y
_atom_site_fract_z
_atom_site_occupancy
As1 As 0.3333 0.6667 0.0000 1
Cl1 Cl 0.3333 0.6667 0.5630 1
```

Results
Crystal system   hexagonal
Formation energy from raw total energies   675.5 meV per atom
DOS(E_F)   0.62 states/eV/cell

Number 1: final energy -4.412 eV/atom. Number 2: final energy -4.906 eV/atom. Number 3: final energy -5.891 eV/atom. Number 4: final energy -2.573 eV/atom.